Compound: TeIr4Rh
Source: the Alexandria database
Functional: PBE
Structure: relaxed

a b c (Å): 5.2436 5.2436 5.2436
angles (deg): 60.00 60.00 60.00
Fractional positions:
Te: 0.0000 0.0000 0.0000
Ir: 0.3758 0.3758 0.3758
Ir: 0.3758 0.3758 0.8727
Ir: 0.3758 0.8727 0.3758
Ir: 0.8727 0.3758 0.3758
Rh: 0.7500 0.7500 0.7500

Results
N(E_F) = 12.618 states/eV/f.u.
Energy = -7.019 eV per atom
M_tot = 0.1884 μB/atom

Compound: Te6Ir2Rh
Source: the Alexandria database
Functional: PBE
Structure: relaxed

a b c (Å): 11.9456 11.9456 5.4346
angles (deg): 90.00 90.00 120.00
Fractional positions:
Te: 0.0972 0.5486 0.2278
Te: 0.1118 0.2236 0.2509
Te: 0.1118 0.8882 0.2509
Te: 0.2147 0.4293 0.7659
Te: 0.2147 0.7853 0.7659
Te: 0.2236 0.1118 0.7491
Te: 0.4293 0.2147 0.2341
Te: 0.4514 0.5486 0.2278
Te: 0.4514 0.9028 0.2278
Te: 0.5486 0.0972 0.7722
Te: 0.5486 0.4514 0.7722
Te: 0.5707 0.7853 0.7659
Te: 0.7764 0.8882 0.2509
Te: 0.7853 0.2147 0.2341
Te: 0.7853 0.5707 0.2341
Te: 0.8882 0.1118 0.7491
Te: 0.8882 0.7764 0.7491
Te: 0.9028 0.4514 0.7722
Ir: 0.0000 0.3369 0.5000
Ir: 0.0000 0.6631 0.5000
Ir: 0.3369 0.0000 0.5000
Ir: 0.3369 0.3369 0.5000
Ir: 0.6631 0.0000 0.5000
Ir: 0.6631 0.6631 0.5000
Rh: 0.0000 0.0000 0.5000
Rh: 0.3333 0.6667 0.9901
Rh: 0.6667 0.3333 0.0099

Results
N(E_F) = 4.334 states/eV/f.u.
Excess energy over the best structure of this formula in the dataset = 0.0 kJ per mole of atoms
M_tot = 0.0000 μB/atom

Compound: Te2IrRh2
Source: the Alexandria database
Functional: PBE
Structure: relaxed

a b c (Å): 7.2793 7.2793 3.4304
angles (deg): 90.00 90.00 90.00
Fractional positions:
Te: 0.1713 0.3287 0.0000
Te: 0.3287 0.8287 0.0000
Te: 0.6713 0.1713 0.0000
Te: 0.8287 0.6713 0.0000
Ir: 0.0000 0.0000 0.5000
Ir: 0.5000 0.5000 0.5000
Rh: 0.1339 0.6339 0.5000
Rh: 0.3661 0.1339 0.5000
Rh: 0.6339 0.8661 0.5000
Rh: 0.8661 0.3661 0.5000

Results
N(E_F) = 4.788 states/eV/f.u.
Excess energy over the best structure of this formula in the dataset = 0.0 kJ per mole of atoms
M_tot = 0.0000 μB/atom

Compound: TeIr3Rh
Source: the Alexandria database
Functional: PBE
Structure: relaxed

a b c (Å): 4.7416 4.7416 4.7416
angles (deg): 90.00 90.00 90.00
Fractional positions:
Te: 0.0000 0.0000 0.0000
Ir: 0.0000 0.5000 0.5000
Ir: 0.5000 0.0000 0.5000
Ir: 0.5000 0.5000 0.0000
Rh: 0.5000 0.5000 0.5000

Results
N(E_F) = 10.721 states/eV/f.u.
Excess energy over the best structure of this formula in the dataset = 0.0 kJ per mole of atoms
M_tot = 0.0000 μB/atom